# PBEsol Li2YTe, relaxed
data_Li2YTe
_cell_length_a 4.230
_cell_length_b 4.230
_cell_length_c 6.161
_cell_angle_alpha 69.92
_cell_angle_beta 69.92
_cell_angle_gamma 60.00
_space_group_name_H-M_alt 'P 1'
_space_group_IT_number 1
loop_
_space_group_symop_operation_xyz
'x,y,z'
loop_
_atom_site_label
_atom_site_type_symbol
_atom_site_fract_x
_atom_site_fract_y
_atom_site_fract_z
Y1 Y 0.000 0.000 0.000
Te1 Te 0.500 0.500 0.500
Li1 Li 0.214 0.214 0.357
Li2 Li 0.786 0.786 0.643
# magnetization	0.0	μB/f.u.
# DOS at the Fermi energy	0.920	states/eV/atom
# calculated volume	88	Å³/f.u.
# raw formation energy	-0.384	eV/atom
# distance to the lowest polymorph of the same formula	43	kJ/mol of formula units